VASP calculation (PBEsol) on an optimized crystal structure of Rb3LiBr.

Summary:
For the density of states at the Fermi level, the calculation gives 4.715 states/eV per cell. The value obtained for the spin magnetization is 0.26 Bohr magnetons per cell. Its space group is Pm-3m (221). Its crystal system is cubic. The uncorrected formation energy is -1.05 eV per formula unit. The value obtained for the raw total energy is -1.593 eV per atom.

extended XYZ file:
```
5
Lattice="6.810 0.000 0.000 0.000 6.810 0.000 0.000 0.000 6.810" Properties=species:S:1:pos:R:3 pbc="T T T"
Rb 0.000 0.000 3.405
Rb 0.000 3.405 0.000
Rb 3.405 0.000 0.000
Li 0.000 0.000 0.000
Br 3.405 3.405 3.405
```